Entry 1:
First-principles (GGA-PBE) data for crystalline KCeO2 at its relaxed geometry, as listed in the Alexandria database.

Output
- uncorrected energy (Ry/atom) = -0.49820
- ΔE_f (raw) (meV/atom) = -2541

Cell and atoms, written as POSCAR:
```
KCeO2
1.0
3.620 0.000 0.000
1.810 3.135 0.000
1.810 1.045 6.462
O Ce K
2 1 1
Direct
0.272 0.272 0.184
0.064 0.064 0.807
0.668 0.668 0.997
0.496 0.496 0.512
```

=====

Entry 2:
First-principles (GGA-PBE) data for crystalline K14Ce2O9 at its relaxed geometry, as listed in the Alexandria database.

Output
- uncorrected energy (Ry/atom) = -0.31509
- ΔE_f (raw) (meV/atom) = -1413

Cell and atoms, written as POSCAR:
```
K14Ce2O9
1.0
7.976 0.000 0.000
-3.988 6.907 0.000
0.000 0.000 11.211
K O Ce
14 9 2
Direct
0.378 0.263 0.408
0.000 0.000 0.240
0.263 0.885 0.592
0.685 0.632 0.087
0.115 0.378 0.592
0.885 0.622 0.408
0.622 0.737 0.592
0.368 0.053 0.087
0.000 0.000 0.760
0.315 0.368 0.913
0.053 0.685 0.913
0.632 0.947 0.913
0.737 0.115 0.408
0.947 0.315 0.087
0.749 0.123 0.657
0.333 0.667 0.078
0.877 0.626 0.657
0.123 0.374 0.343
0.667 0.333 0.922
0.626 0.749 0.343
0.374 0.251 0.657
0.000 0.000 0.000
0.251 0.877 0.343
0.333 0.667 0.275
0.667 0.333 0.725
```